# Tl5P

A relaxed Tl5P crystal (PBE, the Alexandria database).

The structure in CIF format:
```
data_Tl5P
_space_group_name_H-M_alt 'P 6/m m m'
_space_group_IT_number 191
_space_group_name_Hall '-P 6 2'
_cell_length_a 6.1712
_cell_length_b 6.1712
_cell_length_c 5.9274
_cell_angle_alpha 90.00
_cell_angle_beta 90.00
_cell_angle_gamma 120.00
loop_
_atom_site_label
_atom_site_type_symbol
_atom_site_fract_x
_atom_site_fract_y
_atom_site_fract_z
_atom_site_occupancy
Tl1 Tl 0.0000 0.5000 0.0000 1
Tl2 Tl 0.3333 0.6667 0.5000 1
P1 P 0.0000 0.0000 0.5000 1
```

Crystal system = hexagonal
Formation energy from the elements = 2.70 eV per formula unit
Distance to the lowest polymorph of the same formula = 352 meV/atom
Total magnetic moment = 0.01 μB per formula unit